First-principles (PBE) data for a geometry-optimized Nd3DyY6Sc2 structure, as listed in Alexandria via LeMat-Bulk.

a b c (Å): 6.1571 6.1571 11.7141
angles (deg): 95.02 95.02 119.99
Sites, in units of the cell vectors:
Sc (0.3332, 0.6668, 0.0000)
Sc (0.6668, 0.3332, 0.0000)
Nd (0.5000, 0.5000, 0.5000)
Nd (0.8331, 0.1669, 0.5000)
Nd (0.1669, 0.8331, 0.5000)
Y (0.9192, 0.5834, 0.7587)
Y (0.2552, 0.2552, 0.7587)
Y (0.0808, 0.4166, 0.2413)
Y (0.5834, 0.9192, 0.7587)
Y (0.4166, 0.0808, 0.2413)
Y (0.7448, 0.7448, 0.2413)
Dy (0.0000, 0.0000, 0.0000)

The calculation puts the theoretical density at 5.34 g cm⁻³. As for the energy of formation: 0.0428 eV per atom. The space-group type is C2/m, No. 12.